# 1
The following is a PBE calculation of a geometry-optimized Pm6DyCd structure, from Alexandria.

extended XYZ file:
```
8
Lattice="-0.453 -2.416 -4.356 -3.577 -2.886 1.972 -7.092 6.739 -3.000" Properties=species:S:1:pos:R:3 pbc="T T T"
Dy -3.546 3.369 -1.500
Pm -7.144 3.645 -1.280
Pm -5.581 3.880 -4.444
Pm -2.015 -2.651 -1.192
Pm -1.963 0.442 -2.913
Pm -5.561 0.718 -2.692
Pm -3.525 0.207 0.252
Cd 0.000 0.000 0.000
```

Summary:
Relative energy among the computed polymorphs, meV per atom: 0
Formation enthalpy at 0 K, eV/atom: -0.040
Size of the total moment, μB/cell: 0.000

---

# 2
The following is a PBE calculation of a geometry-optimized Cs2IrPdI6 structure, from Alexandria.

extended XYZ file:
```
10
Lattice="-1.591 -7.839 -0.490 6.762 -1.622 3.984 -0.237 -4.464 6.646" Properties=species:S:1:pos:R:3 pbc="T T T"
I 3.912 -7.158 2.644
I 4.729 -3.135 2.895
I 1.259 -2.303 0.850
I 1.139 -4.594 4.258
I 3.795 -9.331 5.882
I 0.442 -6.326 0.599
Cs 4.555 -5.408 6.189
Cs 0.378 -8.517 3.952
Ir 0.000 0.000 0.000
Pd 2.585 -4.730 1.747
```

Summary:
DFT total energy, eV per formula unit: -30.8
Size of the total moment, μB/cell: 0.000

---

# 3
The following is a PBE calculation of a geometry-optimized BaAgRuI2 structure, from Alexandria.

extended XYZ file:
```
5
Lattice="5.426 0.000 0.000 0.000 5.661 0.000 0.000 0.000 5.426" Properties=species:S:1:pos:R:3 pbc="T T T"
I 0.000 0.000 2.713
I 2.713 0.000 0.000
Ag 2.713 2.831 2.713
Ba 0.000 2.831 0.000
Ru 0.000 0.000 0.000
```

Summary:
DFT total energy, eV per formula unit: -16.6
Size of the total moment, μB/cell: 0.000

---

# 4
The following is a PBE calculation of a geometry-optimized PrThSiTe structure, from Alexandria.

extended XYZ file:
```
4
Lattice="4.313 -0.001 0.000 -2.156 3.737 0.000 -2.156 -1.245 7.602" Properties=species:S:1:pos:R:3 pbc="T T T"
Te 2.564 0.973 2.739
Pr 0.408 -0.273 4.971
Th -1.749 3.463 0.604
Si -1.748 0.972 6.659
```

Summary:
DFT total energy, eV per formula unit: -24.8
Size of the total moment, μB/cell: 0.000

---

# 5
The following is a PBE calculation of a geometry-optimized LaCe2Tc structure, from Alexandria.

extended XYZ file:
```
32
Lattice="-5.043 3.839 -1.222 -2.665 -0.632 9.012 8.041 11.579 3.190" Properties=species:S:1:pos:R:3 pbc="T T T"
Ce 1.266 2.600 1.187
Ce -0.933 12.186 9.793
Ce 0.275 2.365 4.540
Ce 2.242 6.290 1.713
Ce -1.908 8.496 9.267
Ce 5.340 11.780 6.718
Ce 6.343 12.018 3.327
Ce -6.009 2.768 7.653
Ce 0.059 12.421 6.440
Ce 2.294 9.679 5.649
Ce 3.285 9.914 2.296
Ce 1.239 6.052 5.104
Ce -2.951 4.872 8.683
Ce -5.006 3.006 4.262
Ce -0.905 8.734 5.876
Ce -1.960 5.107 5.330
Tc -4.662 4.378 6.312
Tc -1.284 6.203 7.438
Tc 4.995 10.408 4.668
Tc 1.618 8.583 3.541
Tc 0.029 0.942 2.536
Tc -0.313 9.918 7.986
Tc 0.647 4.869 2.994
Tc 0.304 13.844 8.444
La -2.107 3.614 2.091
La -0.339 11.118 3.141
La -1.313 7.529 2.601
La 0.672 3.669 7.839
La 2.441 11.172 8.888
La 2.974 13.116 4.260
La 1.647 7.257 8.379
La -2.640 1.670 6.720
```

Summary:
Relative energy among the computed polymorphs, meV per atom: 0
Formation enthalpy at 0 K, eV/atom: -0.059
Size of the total moment, μB/cell: 0.000

---

# 6
The following is a PBE calculation of a geometry-optimized MgScNiSe2 structure, from Alexandria.

extended XYZ file:
```
5
Lattice="4.850 0.000 0.000 0.000 4.548 0.000 0.000 0.000 4.850" Properties=species:S:1:pos:R:3 pbc="T T T"
Se 2.425 0.000 0.000
Se 0.000 0.000 2.425
Ni 0.000 0.000 0.000
Sc 0.000 2.274 0.000
Mg 2.425 2.274 2.425
```

Summary:
DFT total energy, eV per formula unit: -21.6
Size of the total moment, μB/cell: 0.000

---

# 7
The following is a PBE calculation of a geometry-optimized Tb4Pr3Dy4 structure, from Alexandria.

extended XYZ file:
```
11
Lattice="-4.838 2.623 -1.648 -0.559 -3.945 5.373 2.337 8.286 6.327" Properties=species:S:1:pos:R:3 pbc="T T T"
Dy -1.947 4.838 3.404
Dy 1.032 5.291 5.392
Dy 0.078 1.909 2.810
Dy -2.753 1.016 -0.314
Pr -1.738 0.288 5.561
Pr -0.773 3.709 8.173
Pr -1.518 -1.343 2.319
Tb -2.083 6.495 6.438
Tb -3.569 3.404 5.882
Tb -3.418 1.761 2.824
Tb -5.140 -1.095 3.333
```

Summary:
Relative energy among the computed polymorphs, meV per atom: 140
Formation enthalpy at 0 K, eV/atom: 0.156
Size of the total moment, μB/cell: 0.000

---

# 8
The following is a PBE calculation of a geometry-optimized CeBC2 structure, from Alexandria.

extended XYZ file:
```
4
Lattice="-0.853 -1.995 2.486 1.076 -3.118 0.057 3.592 -0.450 3.061" Properties=species:S:1:pos:R:3 pbc="T T T"
B 0.000 0.000 0.000
C 3.404 -3.979 4.544
C 0.411 -1.584 1.059
Ce 1.908 -2.782 2.802
```

Summary:
Relative energy among the computed polymorphs, meV per atom: 694
Formation enthalpy at 0 K, eV/atom: 0.989
Size of the total moment, μB/cell: 0.000

---

# 9
The following is a PBE calculation of a geometry-optimized Ac2Al3InPd4 structure, from Alexandria.

extended XYZ file:
```
10
Lattice="-2.915 3.462 -0.764 0.592 -0.500 -4.524 -7.845 -6.668 -0.290" Properties=species:S:1:pos:R:3 pbc="T T T"
Pd -2.502 -2.628 -2.365
Pd 0.000 0.000 0.000
Pd -6.504 -2.559 -0.568
Pd -1.161 1.481 -2.644
Al -8.437 -4.202 -0.640
Al -3.922 -3.334 -0.145
Al -0.569 -0.985 -2.294
Ac -3.351 0.121 -0.452
Ac -5.655 -5.308 -2.482
In -5.084 -1.853 -2.789
```

Summary:
Formation enthalpy at 0 K, eV/atom: -0.795
Size of the total moment, μB/cell: 0.000

---

# 10
The following is a PBE calculation of a geometry-optimized CrNiPdRh structure, from Alexandria.

extended XYZ file:
```
4
Lattice="4.258 0.000 0.000 2.129 3.687 0.000 2.129 1.229 3.476" Properties=species:S:1:pos:R:3 pbc="T T T"
Cr 4.258 2.458 1.738
Pd 2.129 1.229 0.869
Rh 6.386 3.687 2.607
Ni 0.000 0.000 0.000
```

Summary:
Formation enthalpy at 0 K, eV/atom: 0.087
Size of the total moment, μB/cell: 1.754

---

# 11
The following is a PBE calculation of a geometry-optimized PuAl2Br8 structure, from Alexandria.

extended XYZ file:
```
22
Lattice="-1.530 0.609 10.456 5.371 -6.897 6.545 8.587 2.879 6.446" Properties=species:S:1:pos:R:3 pbc="T T T"
Br 4.972 -0.094 10.862
Br 4.731 2.223 14.236
Br 7.697 -5.633 9.211
Br -0.535 0.600 8.776
Br 7.457 -3.316 12.585
Br 4.976 -1.600 15.067
Br 4.824 0.415 7.037
Br 8.460 -0.409 14.935
Br 3.196 -4.915 12.055
Br 7.604 -3.825 16.410
Br 12.964 -4.010 14.671
Br 7.453 -1.810 8.380
Br 3.968 -3.001 8.512
Br 9.232 1.505 11.392
Br 3.502 -4.586 5.139
Br 8.927 1.177 18.308
Al 11.429 -2.743 20.618
Al 1.000 -0.667 2.829
Al 5.224 -1.042 8.826
Al 7.204 -2.368 14.621
Pu 6.127 -4.434 6.848
Pu 6.301 1.024 16.599
```

Summary:
Relative energy among the computed polymorphs, meV per atom: 0
Size of the total moment, μB/cell: 12.000

---

What is the size of the total moment in the ninth record?
0.000 μB/cell